[1]
A plane-wave DFT calculation with PBE-GGA was carried out for CaZnSn2 after structural relaxation.

space-group type: No. 166

CIF file:
```
data_CaZnSn2
_chemical_formula_sum 'Ca1 Zn1 Sn2'
_space_group_name_H-M_alt 'P 1'
_space_group_IT_number 1
_space_group_name_Hall 'P 1'
_cell_length_a 6.1929
_cell_length_b 6.1929
_cell_length_c 6.1929
_cell_angle_alpha 44.20
_cell_angle_beta 44.20
_cell_angle_gamma 44.20
loop_
_atom_site_label
_atom_site_fract_x
_atom_site_fract_y
_atom_site_fract_z
Ca1 0.0000 0.0000 0.0000
Zn1 0.5000 0.5000 0.5000
Sn1 0.2238 0.2238 0.2238
Sn2 0.7762 0.7762 0.7762
```

***

[2]
A plane-wave DFT calculation with PBE-GGA was carried out for CaZnSn2 after structural relaxation.

space-group type: No. 65

CIF file:
```
data_CaZnSn2
_chemical_formula_sum 'Ca1 Zn1 Sn2'
_space_group_name_H-M_alt 'P 1'
_space_group_IT_number 1
_space_group_name_Hall 'P 1'
_cell_length_a 5.7601
_cell_length_b 5.7601
_cell_length_c 3.3638
_cell_angle_alpha 90.00
_cell_angle_beta 90.00
_cell_angle_gamma 114.48
loop_
_atom_site_label
_atom_site_fract_x
_atom_site_fract_y
_atom_site_fract_z
Ca1 0.0000 0.0000 0.0000
Zn1 0.5000 0.5000 0.5000
Sn1 0.0000 0.5000 0.5000
Sn2 0.5000 0.0000 0.5000
```

***

[3]
A plane-wave DFT calculation with PBE-GGA was carried out for CaZnSn after structural relaxation.

space-group type: No. 156

CIF file:
```
data_CaZnSn
_chemical_formula_sum 'Ca1 Zn1 Sn1'
_space_group_name_H-M_alt 'P 1'
_space_group_IT_number 1
_space_group_name_Hall 'P 1'
_cell_length_a 4.6073
_cell_length_b 4.6073
_cell_length_c 4.0985
_cell_angle_alpha 90.00
_cell_angle_beta 90.00
_cell_angle_gamma 120.00
loop_
_atom_site_label
_atom_site_fract_x
_atom_site_fract_y
_atom_site_fract_z
Ca1 0.0000 0.0000 0.0000
Zn1 0.3333 0.6667 0.4956
Sn1 0.6667 0.3333 0.5020
```

***

[4]
A plane-wave DFT calculation with PBE-GGA was carried out for Ca4ZnSn8 after structural relaxation.

space-group type: No. 25

CIF file:
```
data_Ca4ZnSn8
_chemical_formula_sum 'Ca4 Zn1 Sn8'
_space_group_name_H-M_alt 'P 1'
_space_group_IT_number 1
_space_group_name_Hall 'P 1'
_cell_length_a 4.4862
_cell_length_b 4.6771
_cell_length_c 17.1657
_cell_angle_alpha 90.00
_cell_angle_beta 90.00
_cell_angle_gamma 90.00
loop_
_atom_site_label
_atom_site_fract_x
_atom_site_fract_y
_atom_site_fract_z
Ca1 0.0000 0.0000 0.0000
Ca2 0.0000 0.5000 0.4766
Ca3 0.5000 0.0000 0.7922
Ca4 0.5000 0.5000 0.2931
Zn1 0.0000 0.5000 0.7187
Sn1 0.0000 0.0000 0.3181
Sn2 0.0000 0.0000 0.6215
Sn3 0.0000 0.5000 0.1476
Sn4 0.0000 0.5000 0.8709
Sn5 0.5000 0.0000 0.1464
Sn6 0.5000 0.0000 0.4355
Sn7 0.5000 0.5000 0.6232
Sn8 0.5000 0.5000 0.9874
```

***

[5]
A plane-wave DFT calculation with PBE-GGA was carried out for CaZn2Sn after structural relaxation.

space-group type: No. 166

CIF file:
```
data_CaZn2Sn
_chemical_formula_sum 'Ca1 Zn2 Sn1'
_space_group_name_H-M_alt 'P 1'
_space_group_IT_number 1
_space_group_name_Hall 'P 1'
_cell_length_a 5.8013
_cell_length_b 5.8013
_cell_length_c 5.8013
_cell_angle_alpha 46.40
_cell_angle_beta 46.40
_cell_angle_gamma 46.40
loop_
_atom_site_label
_atom_site_fract_x
_atom_site_fract_y
_atom_site_fract_z
Ca1 0.0000 0.0000 0.0000
Zn1 0.2289 0.2289 0.2289
Zn2 0.7711 0.7711 0.7711
Sn1 0.5000 0.5000 0.5000
```

***

[6]
A plane-wave DFT calculation with PBE-GGA was carried out for Ca3ZnSn after structural relaxation.

space-group type: No. 221
polymorph energy (0 for the lowest one): 139 kJ/mol of formula units

CIF file:
```
data_Ca3ZnSn
_chemical_formula_sum 'Ca3 Zn1 Sn1'
_space_group_name_H-M_alt 'P 1'
_space_group_IT_number 1
_space_group_name_Hall 'P 1'
_cell_length_a 5.5582
_cell_length_b 5.5582
_cell_length_c 5.5582
_cell_angle_alpha 90.00
_cell_angle_beta 90.00
_cell_angle_gamma 90.00
loop_
_atom_site_label
_atom_site_fract_x
_atom_site_fract_y
_atom_site_fract_z
Ca1 0.0000 0.0000 0.5000
Ca2 0.0000 0.5000 0.0000
Ca3 0.5000 0.0000 0.0000
Zn1 0.0000 0.0000 0.0000
Sn1 0.5000 0.5000 0.5000
```

***

[7]
A plane-wave DFT calculation with PBE-GGA was carried out for Ca4ZnSn after structural relaxation.

space-group type: No. 1
polymorph energy (0 for the lowest one): 17 kJ/mol of formula units

CIF file:
```
data_Ca4ZnSn
_chemical_formula_sum 'Ca4 Zn1 Sn1'
_space_group_name_H-M_alt 'P 1'
_space_group_IT_number 1
_space_group_name_Hall 'P 1'
_cell_length_a 5.2325
_cell_length_b 5.2327
_cell_length_c 7.6582
_cell_angle_alpha 90.05
_cell_angle_beta 90.02
_cell_angle_gamma 90.00
loop_
_atom_site_label
_atom_site_fract_x
_atom_site_fract_y
_atom_site_fract_z
Ca1 0.0000 0.0000 0.0000
Ca2 0.9997 0.9997 0.4993
Ca3 0.4999 0.5001 0.0000
Ca4 0.4998 0.4995 0.4993
Zn1 0.9997 0.5001 0.2496
Sn1 0.4999 0.9998 0.7497
```

***

[8]
A plane-wave DFT calculation with PBE-GGA was carried out for Ca2ZnSn after structural relaxation.

space-group type: No. 166

CIF file:
```
data_Ca2ZnSn
_chemical_formula_sum 'Ca2 Zn1 Sn1'
_space_group_name_H-M_alt 'P 1'
_space_group_IT_number 1
_space_group_name_Hall 'P 1'
_cell_length_a 10.9688
_cell_length_b 10.9688
_cell_length_c 10.9688
_cell_angle_alpha 19.44
_cell_angle_beta 19.44
_cell_angle_gamma 19.44
loop_
_atom_site_label
_atom_site_fract_x
_atom_site_fract_y
_atom_site_fract_z
Ca1 0.0976 0.0976 0.0976
Ca2 0.9024 0.9024 0.9024
Zn1 0.5000 0.5000 0.5000
Sn1 0.0000 0.0000 0.0000
```

***

| no. | DFT formation energy (kcal/mol of atoms) | E_tot (hartree per atom) | calculated volume (Å³/cell) |
| --- | --- | --- | --- |
| 1 | -4.69 | -0.111 | 105 |
| 2 | -6.41 | -0.114 | 102 |
| 3 | -10.05 | -0.105 | 75 |
| 4 | -9.01 | -0.131 | 360 |
| 5 | -4.62 | -0.086 | 93 |
| 6 | -1.32 | -0.085 | 172 |
| 7 | -6.50 | -0.092 | 210 |
| 8 | 0.97 | -0.084 | 128 |